# TaNi4Rh | Alexandria | GGA-PBE | relaxed
data_TaNi4Rh
_symmetry_space_group_name_H-M 'F -4 3 m'
_symmetry_Int_Tables_number 216
_symmetry_space_group_name_Hall 'F -4 2 3'
_cell_length_a 6.662
_cell_length_b 6.662
_cell_length_c 6.662
_cell_angle_alpha 90.00
_cell_angle_beta 90.00
_cell_angle_gamma 90.00
loop_
_atom_site_label
_atom_site_type_symbol
_atom_site_fract_x
_atom_site_fract_y
_atom_site_fract_z
Ta1 Ta 0.000 0.000 0.000
Ni1 Ni 0.124 0.124 0.624
Rh1 Rh 0.250 0.250 0.250
# raw total energy	-7.34	eV/atom